Record 1
HfVRe4 | PBE-GGA | relaxed

a b c (Å): 5.2096 5.2096 5.2096
angles (deg): 60.00 60.00 60.00
Fractional coordinates of all 6 atoms:
Hf  0.0000  0.0000  0.0000
V  0.2500  0.2500  0.2500
Re  0.1246  0.6251  0.6251
Re  0.6251  0.1246  0.6251
Re  0.6251  0.6251  0.1246
Re  0.6251  0.6251  0.6251

Results
The energy of formation from the pure elements comes out at -0.340 eV per formula unit.

---

Record 2
HfV2Re3 | PBE-GGA | relaxed

a b c (Å): 3.1063 3.1063 9.4690
angles (deg): 90.00 90.00 90.00
Fractional coordinates of all 6 atoms:
Hf  0.0000  0.0000  0.0000
V  0.0000  0.0000  0.3405
V  0.0000  0.0000  0.6595
Re  0.5000  0.5000  0.1860
Re  0.5000  0.5000  0.5000
Re  0.5000  0.5000  0.8140

Results
The energy of formation from the pure elements comes out at -1.911 eV per formula unit.

---

Record 3
Hf2VRe3 | PBE-GGA | relaxed

a b c (Å): 5.2182 5.2182 5.2143
angles (deg): 119.10 119.10 60.74
Fractional coordinates of all 6 atoms:
Hf  0.1246  0.1246  0.3757
Hf  0.8754  0.8754  0.6243
V  0.5000  0.5000  0.0000
Re  0.0000  0.5000  0.0000
Re  0.5000  0.0000  0.0000
Re  0.5000  0.5000  0.5000

Results
The energy of formation from the pure elements comes out at -2.555 eV per formula unit.